1.
Material: CdCuCl4
Method: DFT, PBE-GGA
State: relaxed

Summary:
* excess energy over the best structure of this formula in the dataset: 0 meV/atom
* formation energy (no corrections): -0.767 eV per atom
* electronic total energy: -17.0 eV per formula unit

Cell lengths 8.091, 8.091, 12.766 Å; angles 125.48, 125.48, 28.33 degrees
Atoms (fractional coordinates):
Cd (0.032, 0.968, 0.750)
Cd (0.968, 0.032, 0.250)
Cu (0.500, 0.500, 0.000)
Cu (0.500, 0.500, 0.500)
Cl (0.017, 0.759, 0.834)
Cl (0.241, 0.983, 0.666)
Cl (0.351, 0.434, 0.070)
Cl (0.434, 0.351, 0.570)
Cl (0.566, 0.649, 0.430)
Cl (0.649, 0.566, 0.930)
Cl (0.759, 0.017, 0.334)
Cl (0.983, 0.241, 0.166)



2.
Material: CdCuCl2
Method: DFT, PBE-GGA
State: relaxed

Summary:
* excess energy over the best structure of this formula in the dataset: 138 meV/atom
* formation energy (no corrections): -0.337 eV per atom
* electronic total energy: -10.1 eV per formula unit

Cell lengths 5.930, 5.930, 5.930 Å; angles 147.97, 113.25, 75.96 degrees
Atoms (fractional coordinates):
Cd (0.000, 0.000, 0.000)
Cu (0.500, 0.500, 0.000)
Cl (0.326, 0.826, 0.500)
Cl (0.674, 0.174, 0.500)



3.
Material: CdCuCl2
Method: DFT, PBE-GGA
State: relaxed

Summary:
* excess energy over the best structure of this formula in the dataset: 319 meV/atom
* formation energy (no corrections): -0.156 eV per atom
* electronic total energy: -9.3 eV per formula unit

Cell lengths 7.079, 7.079, 7.079 Å; angles 148.95, 148.95, 44.48 degrees
Atoms (fractional coordinates):
Cd (0.000, 0.000, 0.000)
Cu (0.750, 0.250, 0.500)
Cl (0.250, 0.750, 0.500)
Cl (0.500, 0.500, 0.000)



4.
Material: Cd3CuCl
Method: DFT, PBE-GGA
State: relaxed

Summary:
* excess energy over the best structure of this formula in the dataset: 732 meV/atom
* formation energy (no corrections): 0.687 eV per atom
* electronic total energy: -5.3 eV per formula unit

Cell lengths 5.463, 5.463, 5.463 Å; angles 90.00, 90.00, 90.00 degrees
Atoms (fractional coordinates):
Cd (0.000, 0.000, 0.500)
Cd (0.000, 0.500, 0.000)
Cd (0.500, 0.000, 0.000)
Cu (0.500, 0.500, 0.500)
Cl (0.000, 0.000, 0.000)



5.
Material: CdCuCl2
Method: DFT, PBE-GGA
State: relaxed

Summary:
* excess energy over the best structure of this formula in the dataset: 102 meV/atom
* formation energy (no corrections): -0.373 eV per atom
* electronic total energy: -10.2 eV per formula unit

Cell lengths 6.942, 6.942, 6.942 Å; angles 126.45, 126.45, 79.14 degrees
Atoms (fractional coordinates):
Cd (0.000, 0.000, 0.000)
Cd (0.750, 0.250, 0.500)
Cu (0.250, 0.750, 0.500)
Cu (0.500, 0.500, 0.000)
Cl (0.196, 0.625, 0.071)
Cl (0.375, 0.446, 0.571)
Cl (0.554, 0.125, 0.929)
Cl (0.875, 0.804, 0.429)



6.
Material: CdCuCl2
Method: DFT, PBE-GGA
State: relaxed

Summary:
* excess energy over the best structure of this formula in the dataset: 9 meV/atom
* formation energy (no corrections): -0.467 eV per atom
* electronic total energy: -10.6 eV per formula unit

Cell lengths 3.887, 3.887, 8.506 Å; angles 105.05, 105.05, 53.15 degrees
Atoms (fractional coordinates):
Cd (0.000, 0.000, 0.000)
Cu (0.320, 0.320, 0.750)
Cl (0.596, 0.596, 0.633)
Cl (0.747, 0.747, 0.191)